Entry 1:
A plane-wave DFT calculation with SCAN was carried out for a PBEsol-optimized structure of MgPbCl2.

Values from the calculation:
Its offset from the most stable computed form is 0.4927 eV per atom. For the final energy, the calculation gives -25.081 eV/atom. The total moment is 0.000 μB per atom. As for the density of states at the Fermi level: 4.7 states/eV per cell.

Cell lengths 7.052, 7.052, 7.052 Å; angles 120.75, 120.75, 88.71 degrees
Fractional coordinates of all 8 atoms:
Mg (0.000, 0.000, 0.000)
Mg (0.750, 0.250, 0.500)
Pb (0.250, 0.750, 0.500)
Pb (0.500, 0.500, 0.000)
Cl (0.004, 0.625, 0.879)
Cl (0.375, 0.254, 0.379)
Cl (0.746, 0.125, 0.121)
Cl (0.875, 0.996, 0.621)



Entry 2:
A plane-wave DFT calculation with SCAN was carried out for a PBEsol-optimized structure of MgPbCl2.

Values from the calculation:
Its offset from the most stable computed form is 0.2559 eV per atom. For the final energy, the calculation gives -25.318 eV/atom. The total moment is 0.000 μB per atom. As for the density of states at the Fermi level: 0.5 states/eV per cell.

Cell lengths 5.957, 5.957, 5.729 Å; angles 103.08, 103.08, 32.26 degrees
Fractional coordinates of all 4 atoms:
Mg (0.000, 0.000, 0.000)
Pb (0.704, 0.704, 0.400)
Cl (0.351, 0.351, 0.059)
Cl (0.544, 0.544, 0.709)



Entry 3:
A plane-wave DFT calculation with SCAN was carried out for a PBEsol-optimized structure of MgPbCl2.

Values from the calculation:
Its offset from the most stable computed form is 0.8004 eV per atom. For the final energy, the calculation gives -24.773 eV/atom. The total moment is 0.000 μB per atom. As for the density of states at the Fermi level: 1.3 states/eV per cell.

Cell lengths 5.322, 5.322, 3.492 Å; angles 90.00, 90.00, 105.66 degrees
Fractional coordinates of all 4 atoms:
Mg (0.000, 0.000, 0.000)
Pb (0.500, 0.500, 0.000)
Cl (0.000, 0.500, 0.500)
Cl (0.500, 0.000, 0.500)



Entry 4:
A plane-wave DFT calculation with SCAN was carried out for a PBEsol-optimized structure of MgSbPbCl2.

Values from the calculation:
For the final energy, the calculation gives -27.494 eV/atom. The total moment is 0.051 μB per atom. As for the density of states at the Fermi level: 1.5 states/eV per cell.

Cell lengths 4.561, 4.561, 8.909 Å; angles 90.00, 90.00, 90.00 degrees
Fractional coordinates of all 5 atoms:
Mg (0.000, 0.000, 0.000)
Sb (0.500, 0.500, 0.500)
Pb (0.000, 0.000, 0.500)
Cl (0.000, 0.500, 0.000)
Cl (0.500, 0.000, 0.000)



Entry 5:
A plane-wave DFT calculation with SCAN was carried out for a PBEsol-optimized structure of MgPt2Cl.

Values from the calculation:
Its offset from the most stable computed form is 0.1479 eV per atom. For the final energy, the calculation gives -38.342 eV/atom. The total moment is 0.000 μB per atom. As for the density of states at the Fermi level: 2.1 states/eV per cell.

Cell lengths 5.337, 5.337, 5.337 Å; angles 148.16, 126.31, 63.79 degrees
Fractional coordinates of all 4 atoms:
Mg (0.000, 0.000, 0.000)
Pt (0.256, 0.756, 0.500)
Pt (0.517, 0.517, 0.000)
Cl (0.770, 0.270, 0.500)



Entry 6:
A plane-wave DFT calculation with SCAN was carried out for a PBEsol-optimized structure of MgPt2Cl.

Values from the calculation:
Its offset from the most stable computed form is 0.0000 eV per atom. For the final energy, the calculation gives -38.490 eV/atom. The total moment is 0.000 μB per atom. As for the density of states at the Fermi level: 2.9 states/eV per cell.

Cell lengths 2.870, 2.870, 7.699 Å; angles 90.00, 90.00, 90.00 degrees
Fractional coordinates of all 4 atoms:
Mg (0.000, 0.000, 0.000)
Pt (0.500, 0.500, 0.238)
Pt (0.500, 0.500, 0.762)
Cl (0.000, 0.000, 0.500)



Entry 7:
A plane-wave DFT calculation with SCAN was carried out for a PBEsol-optimized structure of RbMgCl2.

Values from the calculation:
For the final energy, the calculation gives -11.871 eV/atom. The total moment is 0.000 μB per atom. As for the density of states at the Fermi level: 0.9 states/eV per cell.

Cell lengths 8.977, 8.977, 8.977 Å; angles 28.18, 28.18, 28.18 degrees
Fractional coordinates of all 4 atoms:
Rb (0.000, 0.000, 0.000)
Mg (0.500, 0.500, 0.500)
Cl (0.408, 0.408, 0.408)
Cl (0.592, 0.592, 0.592)



Entry 8:
A plane-wave DFT calculation with SCAN was carried out for a PBEsol-optimized structure of RbMgCl3.

Values from the calculation:
For the final energy, the calculation gives -12.103 eV/atom. The total moment is 0.000 μB per atom. As for the density of states at the Fermi level: 0.0 states/eV per cell.

Cell lengths 7.050, 7.050, 11.802 Å; angles 90.00, 90.00, 120.00 degrees
Fractional coordinates of all 20 atoms:
Rb (0.000, 0.000, 0.000)
Rb (0.000, 0.000, 0.500)
Rb (0.333, 0.667, 0.250)
Rb (0.667, 0.333, 0.750)
Mg (0.333, 0.667, 0.619)
Mg (0.333, 0.667, 0.881)
Mg (0.667, 0.333, 0.119)
Mg (0.667, 0.333, 0.381)
Cl (0.000, 0.500, 0.000)
Cl (0.000, 0.500, 0.500)
Cl (0.173, 0.347, 0.750)
Cl (0.173, 0.827, 0.750)
Cl (0.347, 0.173, 0.250)
Cl (0.500, 0.000, 0.000)
Cl (0.500, 0.000, 0.500)
Cl (0.500, 0.500, 0.000)
Cl (0.500, 0.500, 0.500)
Cl (0.653, 0.827, 0.750)
Cl (0.827, 0.173, 0.250)
Cl (0.827, 0.653, 0.250)